The following is a DFT calculation (PBE-GGA) of a relaxed structure of ZrRe.

- mass density (kg/m³) = 11361
- calculated volume (Å³ per cell) = 81.1
- formation energy from the elements (meV/atom) = 92
- DOS at the Fermi energy (states/eV per cell) = 3.371

Cell: 5.603 5.603 3.881 Å, 90.00 90.00 138.27°
Fractional coordinates of all 4 atoms:
Zr: 0.153 0.847 0.750
Zr: 0.847 0.153 0.250
Re: 0.430 0.570 0.750
Re: 0.570 0.430 0.250

The following is a DFT calculation (PBE-GGA) of a relaxed structure of Zr3Re.

- mass density (kg/m³) = 8907
- calculated volume (Å³ per cell) = 171.5
- formation energy from the elements (meV/atom) = -69
- DOS at the Fermi energy (states/eV per cell) = 9.037

Cell: 5.902 5.902 8.856 Å, 90.00 90.00 146.23°
Fractional coordinates of all 8 atoms:
Zr: 0.055 0.945 0.750
Zr: 0.364 0.636 0.554
Zr: 0.364 0.636 0.946
Zr: 0.636 0.364 0.054
Zr: 0.636 0.364 0.446
Zr: 0.945 0.055 0.250
Re: 0.248 0.752 0.250
Re: 0.752 0.248 0.750

The following is a DFT calculation (PBE-GGA) of a relaxed structure of Zr5Re3.

- mass density (kg/m³) = 10735
- relative energy among the computed polymorphs (meV/atom) = 54
- calculated volume (Å³ per cell) = 313.9
- formation energy from the elements (meV/atom) = -40
- DOS at the Fermi energy (states/eV per cell) = 15.825

Cell: 8.174 8.174 8.114 Å, 95.53 95.53 142.62°
Fractional coordinates of all 16 atoms:
Zr: 0.067 0.711 0.801
Zr: 0.213 0.412 0.645
Zr: 0.264 0.264 0.023
Zr: 0.289 0.933 0.199
Zr: 0.412 0.213 0.645
Zr: 0.588 0.787 0.355
Zr: 0.711 0.067 0.801
Zr: 0.736 0.736 0.977
Zr: 0.787 0.588 0.355
Zr: 0.933 0.289 0.199
Re: 0.204 0.204 0.348
Re: 0.250 0.750 0.500
Re: 0.326 0.674 0.000
Re: 0.674 0.326 0.000
Re: 0.750 0.250 0.500
Re: 0.796 0.796 0.652

The following is a DFT calculation (PBE-GGA) of a relaxed structure of ZrRe.

- mass density (kg/m³) = 11160
- calculated volume (Å³ per cell) = 41.3
- formation energy from the elements (meV/atom) = 887
- DOS at the Fermi energy (states/eV per cell) = 2.840

Cell: 3.879 3.879 3.879 Å, 60.00 60.00 60.00°
Fractional coordinates of all 2 atoms:
Zr: 0.000 0.000 0.000
Re: 0.500 0.500 0.500

The following is a DFT calculation (PBE-GGA) of a relaxed structure of ZrRe.

- mass density (kg/m³) = 12943
- calculated volume (Å³ per cell) = 35.6
- formation energy from the elements (meV/atom) = -28
- DOS at the Fermi energy (states/eV per cell) = 1.855

Cell: 2.901 2.901 4.540 Å, 90.00 90.00 111.35°
Fractional coordinates of all 2 atoms:
Zr: 0.000 0.000 0.000
Re: 0.500 0.500 0.500

The following is a DFT calculation (PBE-GGA) of a relaxed structure of ZrRe2.

- mass density (kg/m³) = 14572
- calculated volume (Å³ per cell) = 52.8
- formation energy from the elements (meV/atom) = -84
- DOS at the Fermi energy (states/eV per cell) = 2.468

Cell: 5.997 5.997 5.997 Å, 150.29 150.29 42.51°
Fractional coordinates of all 3 atoms:
Zr: 0.000 0.000 0.000
Re: 0.314 0.314 0.000
Re: 0.686 0.686 0.000

The following is a DFT calculation (PBE-GGA) of a relaxed structure of ZrRe.

- mass density (kg/m³) = 12347
- calculated volume (Å³ per cell) = 149.2
- formation energy from the elements (meV/atom) = 200
- DOS at the Fermi energy (states/eV per cell) = 10.896

Cell: 5.304 5.304 5.304 Å, 90.00 90.00 90.00°
Fractional coordinates of all 8 atoms:
Zr: 0.093 0.093 0.093
Zr: 0.407 0.907 0.593
Zr: 0.593 0.407 0.907
Zr: 0.907 0.593 0.407
Re: 0.097 0.597 0.903
Re: 0.403 0.403 0.403
Re: 0.597 0.903 0.097
Re: 0.903 0.097 0.597

The following is a DFT calculation (PBE-GGA) of a relaxed structure of ZrRe2.

- mass density (kg/m³) = 12971
- calculated volume (Å³ per cell) = 59.4
- formation energy from the elements (meV/atom) = 395
- DOS at the Fermi energy (states/eV per cell) = 3.491

Cell: 4.223 4.223 3.844 Å, 90.00 90.00 120.00°
Fractional coordinates of all 3 atoms:
Zr: 0.000 0.000 0.000
Re: 0.333 0.667 0.500
Re: 0.667 0.333 0.500

The following is a DFT calculation (PBE-GGA) of a relaxed structure of ZrRe.

- mass density (kg/m³) = 12463
- calculated volume (Å³ per cell) = 73.9
- formation energy from the elements (meV/atom) = 220
- DOS at the Fermi energy (states/eV per cell) = 3.927

Cell: 2.901 2.901 10.141 Å, 90.00 90.00 120.00°
Fractional coordinates of all 4 atoms:
Zr: 0.333 0.667 0.144
Zr: 0.667 0.333 0.856
Re: 0.333 0.667 0.600
Re: 0.667 0.333 0.400

The following is a DFT calculation (PBE-GGA) of a relaxed structure of ZrRe2.

- mass density (kg/m³) = 12725
- calculated volume (Å³ per cell) = 60.5
- formation energy from the elements (meV/atom) = 474
- DOS at the Fermi energy (states/eV per cell) = 2.825

Cell: 3.603 3.603 4.660 Å, 90.00 90.00 90.00°
Fractional coordinates of all 3 atoms:
Zr: 0.000 0.000 0.000
Re: 0.000 0.500 0.500
Re: 0.500 0.000 0.500

The following is a DFT calculation (PBE-GGA) of a relaxed structure of ZrRe2.

- mass density (kg/m³) = 14582
- calculated volume (Å³ per cell) = 422.4
- formation energy from the elements (meV/atom) = -348
- DOS at the Fermi energy (states/eV per cell) = 24.590

Cell: 5.309 5.309 17.307 Å, 90.00 90.00 120.00°
Fractional coordinates of all 24 atoms:
Zr: 0.000 0.000 0.093
Zr: 0.000 0.000 0.407
Zr: 0.000 0.000 0.593
Zr: 0.000 0.000 0.907
Zr: 0.333 0.667 0.155
Zr: 0.333 0.667 0.345
Zr: 0.667 0.333 0.655
Zr: 0.667 0.333 0.845
Re: 0.000 0.500 0.000
Re: 0.000 0.500 0.500
Re: 0.161 0.322 0.750
Re: 0.161 0.839 0.750
Re: 0.322 0.161 0.250
Re: 0.333 0.667 0.626
Re: 0.333 0.667 0.874
Re: 0.500 0.000 0.000
Re: 0.500 0.000 0.500
Re: 0.500 0.500 0.000
Re: 0.500 0.500 0.500
Re: 0.667 0.333 0.126
Re: 0.667 0.333 0.374
Re: 0.678 0.839 0.750
Re: 0.839 0.161 0.250
Re: 0.839 0.678 0.250

The following is a DFT calculation (PBE-GGA) of a relaxed structure of ZrRe3.

- mass density (kg/m³) = 16148
- relative energy among the computed polymorphs (meV/atom) = 47
- calculated volume (Å³ per cell) = 267.3
- formation energy from the elements (meV/atom) = 36
- DOS at the Fermi energy (states/eV per cell) = 9.688

Cell: 5.276 9.342 5.423 Å, 90.00 90.00 90.00°
Fractional coordinates of all 16 atoms:
Zr: 0.008 0.250 0.141
Zr: 0.492 0.750 0.641
Zr: 0.508 0.250 0.359
Zr: 0.992 0.750 0.859
Re: 0.051 0.250 0.645
Re: 0.217 0.521 0.388
Re: 0.217 0.979 0.388
Re: 0.283 0.021 0.888
Re: 0.283 0.479 0.888
Re: 0.449 0.750 0.145
Re: 0.551 0.250 0.855
Re: 0.717 0.521 0.112
Re: 0.717 0.979 0.112
Re: 0.783 0.021 0.612
Re: 0.783 0.479 0.612
Re: 0.949 0.750 0.355